No. 1
# CeHo2Pb PBE optimized geometry
# - Calculated formation energy: -0.249 eV per atom
# - Final energy: -19.79 eV per cell
# - Mass density: 9.949 g/cm3
# - Distance to the lowest polymorph of the same formula: 0 meV/atom
# - DOS(E_F): 7.43 states/eV/cell
data_CeHo2Pb
_space_group_name_H-M_alt 'P 4/m m m'
_space_group_IT_number 123
_space_group_name_Hall '-P 4 2'
_cell_length_a 4.919
_cell_length_b 4.919
_cell_length_c 4.671
_cell_angle_alpha 90.00
_cell_angle_beta 90.00
_cell_angle_gamma 90.00
loop_
_atom_site_label
_atom_site_type_symbol
_atom_site_fract_x
_atom_site_fract_y
_atom_site_fract_z
Ce1 Ce 0.000 0.000 0.000
Ho1 Ho 0.000 0.500 0.500
Pb1 Pb 0.500 0.500 0.000

No. 2
# K2V2Se5 PBE optimized geometry
# - Raw formation energy: -803 meV per atom
# - Final energy: -90.16 eV per cell
# - Mass density: 3.503 g/cm3
# - DOS(E_F): 6.27 states/eV/cell
data_K2V2Se5
_space_group_name_H-M_alt 'C 1 2/m 1'
_space_group_IT_number 12
_cell_length_a 13.764
_cell_length_b 4.929
_cell_length_c 8.158
_cell_angle_alpha 90.00
_cell_angle_beta 100.07
_cell_angle_gamma 90.00
loop_
_space_group_symop_operation_xyz
'x,y,z'
'-x,-y,-z'
'-x,y,-z'
'x,-y,z'
'x+1/2,y+1/2,z'
'-x+1/2,-y+1/2,-z'
'-x+1/2,y+1/2,-z'
'x+1/2,-y+1/2,z'
loop_
_atom_site_label
_atom_site_type_symbol
_atom_site_fract_x
_atom_site_fract_y
_atom_site_fract_z
K1 K 0.095 0.000 0.309
V1 V 0.149 0.500 0.888
Se1 Se 0.000 0.500 0.000
Se2 Se 0.132 0.500 0.607
Se3 Se 0.184 0.000 0.946